(1)
11
Lattice="-2.8149 1.0368 3.4421 -4.5173 -0.3825 -0.5430 2.8666 -9.8727 2.2917" Properties=species:S:1:pos:R:3 comment="GGA-PBE Li8In2Au, relaxed" energy_ev_per_atom=-2.49 sg="No. 12" pbc="T T T"
Au 0.0000 0.0000 0.0000
In -2.2935 -3.2196 2.1264
In -2.1721 -5.9988 3.0644
Li -2.4109 -0.5417 1.2228
Li -4.8067 -1.4322 2.5633
Li 0.1079 -2.4786 0.8367
Li -4.6883 -4.1275 3.4727
Li 0.2226 -5.0909 1.7181
Li -4.5736 -6.7398 4.3541
Li 0.3410 -7.7862 2.6275
Li -2.0547 -8.6767 3.9680

(2)
4
Lattice="4.2691 -0.4716 -1.0562 2.6939 -2.2956 2.6526 1.5375 -3.9428 -1.2861" Properties=species:S:1:pos:R:3 comment="GGA-PBE AlZnNiHg, relaxed" energy_ev_per_atom=-2.66 sg="No. 216" pbc="T T T"
Al 0.0000 0.0000 0.0000
Hg 2.1252 -1.6775 0.0776
Ni 6.3755 -5.0325 0.2327
Zn 4.2503 -3.3550 0.1552

(3)
20
Lattice="2.6680 1.6814 5.9325 -3.3859 5.2378 -2.4981 -4.1878 -5.1897 0.8179" Properties=species:S:1:pos:R:3 comment="GGA-PBE DyCd3Pd4O12, relaxed" energy_ev_per_atom=-5.26 sg="No. 204" pbc="T T T"
Cd -0.3590 3.4596 1.7172
Cd -0.7599 -1.7542 3.3752
Cd -3.7869 0.0241 -0.8401
Dy 0.0000 0.0000 0.0000
O -2.4616 4.2469 -0.3085
O -0.4719 1.3121 2.1648
O -0.7878 4.3565 3.6759
O 0.6752 0.4616 4.8499
O -2.2487 1.2467 0.1417
O -1.7755 -0.9738 1.5907
O -3.1303 2.7033 2.6616
O -2.6571 0.4828 4.1107
O -5.5810 1.2679 -0.5976
O -4.1179 -2.6270 0.5764
O -4.4338 0.4174 2.0875
O -2.4442 -2.5174 4.5608
Pd 1.3340 0.8407 2.9663
Pd -1.6930 2.6189 -1.2491
Pd -2.0939 -2.5949 0.4090
Pd -2.4529 0.8648 2.1262

(4)
10
Lattice="1.0758 -0.3188 7.0266 -6.7321 1.4886 1.7593 1.7800 -5.2638 -4.4447" Properties=species:S:1:pos:R:3 comment="GGA-PBE Hf3TlIr, relaxed" energy_ev_per_atom=-8.21 sg="No. 140" pbc="T T T"
Hf -1.4141 0.2924 2.1965
Hf -4.2422 0.8773 6.5894
Hf -1.0578 -0.6781 5.7008
Hf 0.1527 -2.4961 0.4307
Hf -4.0290 -1.5979 3.9105
Hf -2.8184 -3.4160 -1.3596
Ir 0.0000 0.0000 0.0000
Ir -2.8281 0.5849 4.3930
Tl 0.0139 -2.4988 3.4874
Tl -3.8901 -1.5952 0.8538

(5)
24
Lattice="-3.3479 3.0089 -2.9416 -1.9632 -3.7752 3.2877 -0.7186 9.9458 10.9913" Properties=species:S:1:pos:R:3 comment="GGA-PBE TaCo, relaxed" formation_energy_ev_per_atom=0.459 sg="No. 194" pbc="T T T"
Co -0.0646 0.8947 0.9888
Co -2.5143 -0.2743 2.5811
Co -3.0016 2.3425 0.8975
Co -3.1304 4.1255 2.8679
Co -2.6945 2.2196 5.3371
Co -0.2946 4.0782 4.5069
Co -0.4239 5.8676 6.4844
Co -3.3352 6.9600 6.0003
Co -2.8993 5.0540 8.4695
Co -3.0281 6.8371 10.4400
Co -3.5154 9.4539 8.7563
Co -0.6539 9.0511 10.0025
Ta -1.6740 1.5045 -1.4708
Ta -0.9816 -1.8876 1.6439
Ta -2.6556 -0.3831 0.1731
Ta -1.3690 1.7439 3.3420
Ta -2.3692 -0.1795 5.0171
Ta -4.0750 1.3535 3.5183
Ta -2.0333 6.4774 4.0249
Ta -1.3409 3.0853 7.1395
Ta -3.0149 4.5898 5.6687
Ta -1.9547 7.8260 7.8191
Ta -3.6605 9.3591 6.3204
Ta -4.6607 7.4356 7.9955

(6)
3
Lattice="0.1266 2.5967 3.6192 -2.9672 3.2888 0.4875 -3.1973 -0.3232 3.0872" Properties=species:S:1:pos:R:3 comment="GGA-PBE ScTaPd, relaxed" formation_energy_ev_per_atom=0.136 sg="No. 216" relative_energy_ev_per_atom=0.000 pbc="T T T"
Pd 0.0000 0.0000 0.0000
Sc -1.5095 1.3906 1.7985
Ta -4.5284 4.1717 5.3955

(7)
9
Lattice="3.8973 0.0000 0.0000 0.0000 6.6671 3.8576 0.0000 -6.6671 3.8576" Properties=species:S:1:pos:R:3 comment="GGA-PBE Gd3In2SnPdPt2, relaxed" energy_ev_per_atom=-5.52 sg="No. 38" pbc="T T T"
Gd 0.0000 3.9250 2.2792
Gd 0.0000 0.0000 3.1598
Gd 0.0000 -3.9250 2.2792
In 1.9487 1.7210 1.0045
In 1.9487 -1.7210 1.0045
Pd 0.0000 0.0000 7.6806
Pt 1.9487 2.2165 3.8634
Pt 1.9487 -2.2165 3.8634
Sn 1.9487 0.0000 5.7260

(8)
8
Lattice="-0.5310 1.4398 4.3338 -3.1668 -2.7228 -1.9220 4.4003 -7.1829 2.9254" Properties=species:S:1:pos:R:3 comment="GGA-PBE GdErIn2Pd4, relaxed" energy_ev_per_atom=-5.25 sg="No. 187" pbc="T T T"
Er 0.0000 0.0000 0.0000
Gd 0.7906 -3.5392 3.7112
In -1.2001 -3.1116 0.8867
In 1.0239 -6.7419 2.3652
Pd -0.7046 -1.0985 2.7172
Pd 1.4734 -2.4052 0.9796
Pd 2.9269 -4.7777 1.9458
Pd 2.2858 -5.9799 4.7053

(9)
9
Lattice="-0.8621 -4.0577 2.2029 7.3433 -0.5033 1.9468 -4.9179 3.5453 4.6057" Properties=species:S:1:pos:R:3 comment="GGA-PBE La2PrMg3InGa2, relaxed" energy_ev_per_atom=-3.59 sg="No. 38" pbc="T T T"
Ga 2.8193 -1.1803 3.9365
Ga -1.2556 0.1652 4.8201
In 2.4235 3.0397 6.5476
La 3.1898 -0.2186 0.8456
La -2.1362 1.5400 2.0006
Mg 0.1706 -1.2742 2.7270
Mg 3.2101 0.1347 6.5118
Mg 0.1765 1.1364 7.1697
Pr 1.3734 1.7226 3.7105

(10)
8
Lattice="2.5076 -4.4607 0.0000 2.5076 4.4607 0.0000 0.0000 0.0000 4.1070" Properties=species:S:1:pos:R:3 comment="GGA-PBE GaCo2Ni, relaxed" energy_ev_per_atom=-5.85 sg="No. 63" pbc="T T T"
Co 1.2654 0.6545 1.0268
Co 3.7499 0.6545 1.0268
Co 1.2654 -0.6545 3.0803
Co 3.7499 -0.6545 3.0803
Ga 2.5076 -1.5649 1.0268
Ga 2.5076 1.5649 3.0803
Ni 2.5077 2.9563 1.0268
Ni 2.5077 -2.9563 3.0803

(11)
5
Lattice="-1.9304 1.9304 4.8529 1.9304 -1.9304 4.8529 1.9304 1.9304 -4.8529" Properties=species:S:1:pos:R:3 comment="GGA-PBE TmFeSi2Ni, relaxed" energy_ev_per_atom=-6.60 sg="No. 119" pbc="T T T"
Fe 0.0000 0.0000 0.0000
Ni 0.0000 0.0000 4.8529
Si 0.0000 1.9304 1.2107
Si 0.0000 1.9304 3.6422
Tm 1.9304 0.0000 2.4264

(12)
6
Lattice="5.4949 -4.1859 -1.6954 6.3849 2.8589 -1.2845 5.3151 -0.9417 4.6318" Properties=species:S:1:pos:R:3 comment="GGA-PBE TmN2, relaxed" energy_ev_per_atom=-6.08 sg="No. 227" pbc="T T T"
N 6.4481 -0.8508 0.6195
N 9.1956 -2.9437 -0.2282
N 9.6406 0.5787 -0.0228
N 9.1057 -1.3216 2.9353
Tm 4.2987 -0.5672 0.4130
Tm 8.5975 -1.1343 0.8259